(1)
The following is a DFT calculation (PBE) of a geometry-optimized CoSnGe structure.

Cell lengths 4.2088, 4.2088, 4.2088 Å; angles 60.00, 60.00, 60.00 degrees
With the nearest neighbours (Å) after each atom.
Positions (direct):
Co 0.0000 0.0000 0.0000  4 Ge 2.58, 4 Sn 2.58
Sn 0.2500 0.2500 0.2500  4 Co 2.58
Ge 0.7500 0.7500 0.7500  4 Co 2.58

Results
theoretical density: 7.88 g cm⁻³
energy of formation from the pure elements: -0.19 eV/f.u.
total moment: 0.000 μB per formula unit
space-group type: F-43m

***

(2)
The following is a DFT calculation (PBE) of a geometry-optimized K2TlPt structure.

Cell lengths 11.4925, 11.4925, 11.4925 Å; angles 17.26, 17.26, 17.26 degrees
With the nearest neighbours (Å) after each atom.
Positions (direct):
K 0.2395 0.2395 0.2395  3 Pt 3.17, 6 K 3.45
K 0.7605 0.7605 0.7605  3 Pt 3.17, 6 K 3.45
Tl 0.0000 0.0000 0.0000  6 Tl 3.45, 6 K 3.76
Pt 0.5000 0.5000 0.5000  6 K 3.17, 6 Pt 3.45

Results
theoretical density: 6.80 g cm⁻³
energy of formation from the pure elements: 1.04 eV/f.u.
total moment: 0.000 μB per formula unit
space-group type: R-3m

***

(3)
The following is a DFT calculation (PBE) of a geometry-optimized LaGa2Au7 structure.

Cell lengths 8.6447, 8.6447, 4.1472 Å; angles 90.00, 90.00, 133.52 degrees
With the nearest neighbours (Å) after each atom.
Positions (direct):
La 0.0000 0.0000 0.0000  8 Au 3.18
Ga 0.2639 0.7361 0.5000  6 Au 2.62-2.70
Ga 0.7361 0.2639 0.5000  6 Au 2.62-2.70
Au 0.0786 0.3271 0.5000  2 Ga 2.62-2.70, 4 Au 2.77-2.90
Au 0.3271 0.0786 0.5000  2 Ga 2.62-2.70, 4 Au 2.77-2.90
Au 0.3681 0.6319 0.0000  2 Ga 2.65, 6 Au 2.90-2.95
Au 0.5000 0.5000 0.5000  8 Au 2.83-2.95
Au 0.6319 0.3681 0.0000  2 Ga 2.65, 6 Au 2.90-2.95
Au 0.6729 0.9214 0.5000  2 Ga 2.62-2.70, 4 Au 2.77-2.90
Au 0.9214 0.6729 0.5000  2 Ga 2.62-2.70, 4 Au 2.77-2.90

Results
theoretical density: 12.24 g cm⁻³
energy of formation from the pure elements: -2.98 eV/f.u.
total moment: 0.000 μB per formula unit
space-group type: Cmmm